[1]
# LiErMg4, relaxed, DFT PBE-GGA
# Electronic total energy   -2.169 eV/atom
# DOS at the Fermi energy   8.13 states/eV per cell
# Polymorph energy (0 for the lowest one)   0.027 eV/atom
# ρ   3.2 g cm⁻³
data_LiErMg4
_chemical_formula_sum 'Li2 Er2 Mg8'
_cell_length_a 9.939
_cell_length_b 3.206
_cell_length_c 8.880
_cell_angle_alpha 90.00
_cell_angle_beta 90.00
_cell_angle_gamma 90.00
_space_group_name_H-M_alt 'P m m a'
_space_group_IT_number 51
loop_
_space_group_symop_operation_xyz
'x,y,z'
'-x,-y,-z'
'-x+1/2,-y,z'
'x+1/2,y,-z'
'x+1/2,-y,-z'
'-x+1/2,y,z'
'-x,y,-z'
'x,-y,z'
loop_
_atom_site_label
_atom_site_type_symbol
_atom_site_fract_x
_atom_site_fract_y
_atom_site_fract_z
_atom_site_occupancy
Li1 Li 0.250 0.000 0.175 1
Er1 Er 0.250 0.000 0.538 1
Mg1 Mg 0.000 0.000 0.000 1
Mg2 Mg 0.021 0.500 0.320 1
Mg3 Mg 0.250 0.500 0.869 1

[2]
# BaCd3Sn3, relaxed, DFT PBE-GGA
# Electronic total energy   -2.395 eV/atom
# DOS at the Fermi energy   11.03 states/eV per cell
# Polymorph energy (0 for the lowest one)   0.173 eV/atom
# ρ   5.5 g cm⁻³
data_BaCd3Sn3
_chemical_formula_sum 'Ba2 Cd6 Sn6'
_cell_length_a 7.945
_cell_length_b 7.945
_cell_length_c 7.945
_cell_angle_alpha 90.00
_cell_angle_beta 90.00
_cell_angle_gamma 90.00
_space_group_name_H-M_alt 'P m -3 n'
_space_group_IT_number 223
_space_group_name_Hall '-P 4n 2 3'
loop_
_atom_site_label
_atom_site_type_symbol
_atom_site_fract_x
_atom_site_fract_y
_atom_site_fract_z
_atom_site_occupancy
Ba1 Ba 0.000 0.000 0.000 1
Cd1 Cd 0.000 0.250 0.500 1
Sn1 Sn 0.000 0.500 0.250 1

[3]
# BaTlGa2Ni, relaxed, DFT PBE-GGA
# Electronic total energy   -3.433 eV/atom
# DOS at the Fermi energy   4.46 states/eV per cell
# ρ   7.5 g cm⁻³
data_BaTlGa2Ni
_chemical_formula_sum 'Ba1 Tl1 Ga2 Ni1'
_cell_length_a 4.817
_cell_length_b 4.817
_cell_length_c 5.131
_cell_angle_alpha 90.00
_cell_angle_beta 90.00
_cell_angle_gamma 90.00
_space_group_name_H-M_alt 'P 4/m m m'
_space_group_IT_number 123
_space_group_name_Hall '-P 4 2'
loop_
_atom_site_label
_atom_site_type_symbol
_atom_site_fract_x
_atom_site_fract_y
_atom_site_fract_z
_atom_site_occupancy
Ba1 Ba 0.000 0.000 0.000 1
Tl1 Tl 0.500 0.500 0.000 1
Ga1 Ga 0.000 0.500 0.500 1
Ni1 Ni 0.500 0.500 0.500 1

> Among the records above, which one has the highest electronic total energy?

LiErMg4

> What is the formula in the second record?

BaCd3Sn3

> Which of these has the lowest ρ?

LiErMg4